# 1
Entry from Alexandria: a geometry-optimized DyTmRuPb structure (GGA-PBE).

As for the space-group type: P4mm (99). Its energy of formation is -0.493 eV/atom.

a b c (Å): 3.4059 3.4059 8.2228
angles (deg): 90.00 90.00 90.00
With the nearest neighbours (Å) after each atom.
Fractional positions:
Dy  0.5000  0.5000  0.7721  4 Ru 2.94
Tm  0.5000  0.5000  0.3707  4 Ru 2.90
Ru  0.0000  0.0000  0.5666  4 Tm 2.90, 4 Dy 2.94
Pb  0.0000  0.0000  0.0752  4 Pb 3.41, 4 Tm 3.42, 4 Dy 3.47

=====

# 2
Entry from Alexandria: a geometry-optimized DyPbS structure (GGA-PBE).

The raw total energy is -30.3 eV per cell. As for the space-group type: I4_1md (109).

a b c (Å): 5.2413 5.2413 7.1366
angles (deg): 111.54 111.54 90.00
With the nearest neighbours (Å) after each atom.
Fractional positions:
Dy  0.8157  0.8157  0.6314  3 S 2.65-2.68
Dy  0.0657  0.5657  0.1314  3 S 2.65-2.68
S  0.2856  0.7856  0.5712  3 Dy 2.65-2.68, 2 Pb 2.96
S  0.0356  0.0356  0.0712  3 Dy 2.65-2.68, 2 Pb 2.96
Pb  0.3987  0.3987  0.7974  2 S 2.96
Pb  0.6487  0.1487  0.2974  2 S 2.96

=====

# 3
Entry from Alexandria: a geometry-optimized DyPb6S8 structure (GGA-PBE).

The raw total energy is -69.8 eV per cell. As for the space-group type: R-3 (148).

a b c (Å): 7.8300 7.8300 7.8300
angles (deg): 72.39 72.39 72.39
With the nearest neighbours (Å) after each atom.
Fractional positions:
Dy  0.0000  0.0000  0.0000  6 S 2.74
Pb  0.5197  0.2669  0.9748  4 S 2.75-3.08
Pb  0.2669  0.9748  0.5197  4 S 2.75-3.08
Pb  0.9748  0.5197  0.2669  4 S 2.75-3.08
Pb  0.4803  0.7331  0.0252  4 S 2.75-3.08
Pb  0.7331  0.0252  0.4803  4 S 2.75-3.08
Pb  0.0252  0.4803  0.7331  4 S 2.75-3.08
S  0.6822  0.6822  0.6822  3 Pb 2.75
S  0.3178  0.3178  0.3178  3 Pb 2.75
S  0.6647  0.9136  0.1659  1 Dy 2.74, 2 Pb 2.79-2.90
S  0.9136  0.1659  0.6647  1 Dy 2.74, 2 Pb 2.79-2.90
S  0.1659  0.6647  0.9136  1 Dy 2.74, 2 Pb 2.79-2.90
S  0.3353  0.0864  0.8341  1 Dy 2.74, 2 Pb 2.79-2.90
S  0.0864  0.8341  0.3353  1 Dy 2.74, 2 Pb 2.79-2.90
S  0.8341  0.3353  0.0864  1 Dy 2.74, 2 Pb 2.79-2.90

=====

# 4
Entry from Alexandria: a geometry-optimized Dy2PbS structure (GGA-PBE).

The raw total energy is -21.9 eV per cell. As for the space-group type: R3m (160).

a b c (Å): 3.7924 3.7924 8.4425
angles (deg): 77.02 77.02 60.00
With the nearest neighbours (Å) after each atom.
Fractional positions:
Dy  0.0651  0.0651  0.8047  3 S 2.70
Dy  0.2683  0.2683  0.1952  3 S 2.72
Pb  0.4993  0.4993  0.5020  6 Dy 3.30-3.32
S  0.6673  0.6673  0.9980  6 Dy 2.70-2.72

=====

# 5
Entry from Alexandria: a geometry-optimized Dy2PbS structure (GGA-PBE).

The raw total energy is -21.9 eV per cell. As for the space-group type: C2/m (12).

a b c (Å): 3.8607 3.8607 8.1896
angles (deg): 89.64 103.92 120.21
With the nearest neighbours (Å) after each atom.
Fractional positions:
Dy  0.5332  0.2685  0.8017  3 S 2.72
Dy  0.4668  0.7314  0.1983  3 S 2.72
Pb  0.0000  0.5000  0.5000  6 Dy 3.24-3.26
S  0.0000  0.0000  0.0000  6 Dy 2.72

=====

# 6
Entry from Alexandria: a geometry-optimized Dy2PbS structure (GGA-PBE).

The raw total energy is -21.7 eV per cell. As for the space-group type: P-3m1 (164).

a b c (Å): 3.7931 3.7931 8.2043
angles (deg): 90.00 90.00 60.00
With the nearest neighbours (Å) after each atom.
Fractional positions:
Dy  0.6667  0.6667  0.1943  3 S 2.71
Dy  0.3333  0.3333  0.8057  3 S 2.71
Pb  0.0000  0.0000  0.5000  6 Dy 3.33
S  0.0000  0.0000  0.0000  6 Dy 2.71

=====

# 7
Entry from Alexandria: a geometry-optimized DyPbS2 structure (GGA-PBE).

The raw total energy is -21.8 eV per cell. As for the space-group type: R3m (160).

a b c (Å): 3.8672 3.8672 8.2357
angles (deg): 76.46 76.46 60.01
With the nearest neighbours (Å) after each atom.
Fractional positions:
Dy  0.6668  0.6668  0.9996  6 S 2.72-2.73
Pb  0.5001  0.5001  0.4995  6 S 3.27-3.28
S  0.0656  0.0656  0.8028  3 Dy 2.72
S  0.2675  0.2675  0.1981  3 Dy 2.73

=====

# 8
Entry from Alexandria: a geometry-optimized Dy4Pb3S8 structure (GGA-PBE).

The raw total energy is -82.9 eV per cell. As for the space-group type: C2/m (12).

a b c (Å): 8.0334 8.1088 8.1088
angles (deg): 90.04 119.53 119.53
With the nearest neighbours (Å) after each atom.
Fractional positions:
Dy  0.5000  0.0000  0.0000  6 S 2.75-2.79
Dy  0.0000  0.5000  0.0000  6 S 2.87-2.88
Dy  0.0000  0.0000  0.0000  6 S 2.75-2.79
Dy  0.0000  0.0000  0.5000  6 S 2.87-2.88
Pb  0.5000  0.5000  0.0000  6 S 2.87-2.88
Pb  0.5000  0.0000  0.5000  6 S 2.87-2.88
Pb  0.5000  0.5000  0.5000  6 S 2.97-2.99
S  0.4769  0.2284  0.2284  2 Dy 2.75, 3 Pb 2.87-2.99
S  0.0000  0.7573  0.2427  3 Dy 2.78-2.87, 2 Pb 2.88
S  0.9845  0.2355  0.2355  4 Dy 2.79-2.87, 1 Pb 2.97
S  0.5000  0.7589  0.2411  3 Dy 2.77-2.88, 3 Pb 2.87-2.97
S  0.5000  0.2411  0.7589  3 Dy 2.77-2.88, 3 Pb 2.87-2.97
S  0.0155  0.7645  0.7645  4 Dy 2.79-2.87, 1 Pb 2.97
S  0.0000  0.2427  0.7573  3 Dy 2.78-2.87, 2 Pb 2.88
S  0.5231  0.7716  0.7716  2 Dy 2.75, 3 Pb 2.87-2.99

=====

# 9
Entry from Alexandria: a geometry-optimized Dy6PbS5 structure (GGA-PBE).

The raw total energy is -72.3 eV per cell. As for the space-group type: C2/m (12).

a b c (Å): 6.9673 6.9265 6.9280
angles (deg): 60.01 80.41 70.54
With the nearest neighbours (Å) after each atom.
Fractional positions:
Pb  0.0000  0.0000  0.0000  6 Dy 2.97
S  0.5000  0.1607  0.6786  6 Dy 2.74-2.84
S  0.0000  0.3318  0.3363  6 Dy 2.83-2.84
S  0.5000  0.5000  0.0000  6 Dy 2.71-2.83
S  0.0000  0.6682  0.6637  6 Dy 2.83-2.84
S  0.5000  0.8393  0.3214  6 Dy 2.74-2.84
Dy  0.7373  0.0878  0.3493  5 S 2.74-2.84, 1 Pb 2.97
Dy  0.2627  0.5629  0.3493  5 S 2.74-2.84, 1 Pb 2.97
Dy  0.2599  0.2629  0.0000  5 S 2.71-2.84, 1 Pb 2.97
Dy  0.7401  0.7371  0.0000  5 S 2.71-2.84, 1 Pb 2.97
Dy  0.7373  0.4371  0.6507  5 S 2.74-2.84, 1 Pb 2.97
Dy  0.2627  0.9122  0.6507  5 S 2.74-2.84, 1 Pb 2.97